Compound: Ba2CaHg
Source: Alexandria via LeMat-Bulk
Functional: SCAN
Structure: PBEsol geometry

Cell lengths 4.018, 4.018, 10.150 Å; angles 90.00, 90.00, 90.00 degrees
Space group P4mm (No. 99)
One atom of each set of equivalent atoms:
Ba 0.000 0.000 0.000 x1
Ba 0.500 0.500 0.348 x1
Ca 0.000 0.000 0.643 x1
Hg 0.500 0.500 0.790 x1

Values from the calculation:
Its density is 5.2 Mg/m³. For the calculated total energy, the calculation gives -39.57 eV per atom. The value obtained for the density of states at the Fermi level is 1.123 states/eV per atom. For the energy relative to the elements, the calculation gives -7.725 kcal/mol of atoms.